Record 1
Sr2CoAg after structural relaxation. Source: Alexandria, functional PBE.

Results
N(E_F): 3.6 states/eV per cell
Formation energy: 0.35 eV/atom

POSCAR file:
```
Sr2CoAg
1.0
-8.3130 -1.0976 -1.7015
-7.3210 -4.3659 0.7404
-8.1675 -0.6345 2.4690
Ag Co Sr
1 1 2
direct
0.2500 0.2500 0.2500
0.7500 0.7500 0.7500
0.0092 0.0092 0.0092
0.4908 0.4908 0.4908
```



Record 2
Sr2Co2Ag after structural relaxation. Source: Alexandria, functional PBE.

Results
N(E_F): 9.0 states/eV per cell
Formation energy: 0.28 eV/atom

POSCAR file:
```
Sr2Co2Ag
1.0
7.2329 0.0000 0.0000
0.0000 7.2329 0.0000
0.0000 0.0000 4.5125
Sr Co Ag
4 4 2
direct
0.1833 0.6833 0.5000
0.6833 0.8167 0.5000
0.8167 0.3167 0.5000
0.3167 0.1833 0.5000
0.3930 0.8930 0.0000
0.8930 0.6070 0.0000
0.6070 0.1070 0.0000
0.1070 0.3930 0.0000
0.0000 0.0000 0.0000
0.5000 0.5000 0.0000
```



Record 3
SrCo2Ag after structural relaxation. Source: Alexandria, functional PBE.

Results
N(E_F): 5.2 states/eV per cell
Formation energy: 0.66 eV/atom

POSCAR file:
```
SrCo2Ag
1.0
5.0638 -0.0297 0.0000
1.4732 4.8449 0.0000
-3.2685 -2.4076 3.0271
Ag Co Sr
1 2 1
direct
0.7500 0.2500 0.5000
0.0000 0.0000 0.0000
0.2500 0.7500 0.5000
0.5000 0.5000 0.0000
```



Record 4
Sr2CoAg after structural relaxation. Source: Alexandria, functional PBE.

Results
N(E_F): 13.9 states/eV per cell
Formation energy: 0.48 eV/atom

POSCAR file:
```
Sr2CoAg
1.0
-0.8593 -8.1414 0.1745
1.5452 -0.3353 -8.0344
3.6280 -4.5712 -3.2842
Sr Co Ag
4 2 2
direct
0.5927 0.1250 0.2500
0.1573 0.6250 0.2500
0.3750 0.4073 0.7500
0.8750 0.8427 0.7500
0.5000 0.5000 0.0000
0.2500 0.7500 0.5000
0.0000 0.0000 0.0000
0.7500 0.2500 0.5000
```



Record 5
Sr2CoAg after structural relaxation. Source: Alexandria, functional PBE.

Results
N(E_F): 5.8 states/eV per cell
Formation energy: 0.13 eV/atom

POSCAR file:
```
Sr2CoAg
1.0
4.5448 0.0000 0.0000
0.0000 4.4717 -0.0035
0.0000 2.2424 5.7626
Ag Co Sr
1 1 2
direct
0.0000 0.6838 0.5082
0.5000 0.5672 0.7395
0.0000 0.9821 0.9107
0.5000 0.2669 0.3416
```



Record 6
SrCoAg after structural relaxation. Source: Alexandria, functional PBE.

Results
N(E_F): 7.8 states/eV per cell
Formation energy: 0.52 eV/atom

POSCAR file:
```
SrCoAg
1.0
-1.5166 -4.3423 1.1095
2.9727 -3.1148 1.9616
-0.5233 -1.2357 4.5372
Ag Co Sr
1 1 1
direct
0.5000 0.5000 0.5000
0.7500 0.7500 0.7500
0.0000 0.0000 0.0000
```



Record 7
Sr2CoAg after structural relaxation. Source: Alexandria, functional PBE.

Results
N(E_F): 8.9 states/eV per cell
Formation energy: 0.49 eV/atom

POSCAR file:
```
Sr2CoAg
1.0
5.2370 0.0000 0.0000
2.6185 4.5354 0.0000
2.6185 1.5118 4.2760
Ag Co Sr
1 1 2
direct
0.5000 0.5000 0.5000
0.7500 0.7500 0.7500
0.0000 0.0000 0.0000
0.2500 0.2500 0.2500
```



Record 8
SrCoAg after structural relaxation. Source: Alexandria, functional PBE.

Results
N(E_F): 0.8 states/eV per cell
Formation energy: 0.96 eV/atom

POSCAR file:
```
SrCoAg
1.0
-2.0913 1.4351 -4.4318
-4.9585 1.2009 -0.2130
-1.4237 4.8539 -0.6982
Ag Co Sr
1 1 1
direct
0.0000 0.0000 0.0000
0.5000 0.5000 0.5000
0.7500 0.7500 0.7500
```



What did the fourth record say?
Sr2CoAg after structural relaxation. Source: Alexandria, functional PBE.

Results
N(E_F): 13.9 states/eV per cell
Formation energy: 0.48 eV/atom

POSCAR file:
```
Sr2CoAg
1.0
-0.8593 -8.1414 0.1745
1.5452 -0.3353 -8.0344
3.6280 -4.5712 -3.2842
Sr Co Ag
4 2 2
direct
0.5927 0.1250 0.2500
0.1573 0.6250 0.2500
0.3750 0.4073 0.7500
0.8750 0.8427 0.7500
0.5000 0.5000 0.0000
0.2500 0.7500 0.5000
0.0000 0.0000 0.0000
0.7500 0.2500 0.5000
```



Question: Which value of N(E_F) does entry 6 give?
Answer: 7.8 states/eV per cell